Record 1
# AgPbCl4

An optimized crystal structure of AgPbCl4 (PBE, the Alexandria database).

a = 7.292 Å, b = 6.443 Å, c = 8.034 Å
α = 90.00°, β = 110.93°, γ = 90.00°
Space group P2_1/c (No. 14)
Symmetry-distinct sites (fractional):
1 Ag 0.000 0.000 0.000 (multiplicity 2)
2 Pb 0.500 0.000 0.500 (multiplicity 2)
3 Cl 0.128 0.207 0.372 (multiplicity 4)
4 Cl 0.344 0.650 0.634 (multiplicity 4)

**N(E_F)**: 7.2 states/eV per cell
**Crystal system**: monoclinic
**ΔE_f (raw)**: -711 meV per atom

---

Record 2
# AgPb3Cl

An optimized crystal structure of AgPb3Cl (PBE, the Alexandria database).

a = 5.570 Å, b = 5.570 Å, c = 5.570 Å
α = 90.00°, β = 90.00°, γ = 90.00°
Space group Pm-3m (No. 221)
Symmetry-distinct sites (fractional):
1 Ag 0.000 0.000 0.000 (multiplicity 1)
2 Pb 0.000 0.000 0.500 (multiplicity 3)
3 Cl 0.500 0.500 0.500 (multiplicity 1)

**N(E_F)**: 2.9 states/eV per cell
**Crystal system**: cubic
**ΔE_f (raw)**: 215 meV per atom

---

Record 3
# Ag2Pb2Cl

An optimized crystal structure of Ag2Pb2Cl (PBE, the Alexandria database).

a = 8.265 Å, b = 8.265 Å, c = 3.681 Å
α = 90.00°, β = 90.00°, γ = 90.00°
Space group P4/mbm (No. 127)
Symmetry-distinct sites (fractional):
1 Ag 0.123 0.377 0.000 (multiplicity 4)
2 Pb 0.173 0.673 0.500 (multiplicity 4)
3 Cl 0.000 0.000 0.000 (multiplicity 2)

**N(E_F)**: 4.0 states/eV per cell
**Crystal system**: tetragonal
**ΔE_f (raw)**: -44 meV per atom